Entry 1:
ZnPBr3 PBE optimized geometry; polymorph energy (0 for the lowest one) = 186 meV per atom; total magnetic moment = 2.00 Bohr magnetons per cell; V = 27.608 Å³/atom; ΔE_f (raw) = 0.296 eV/atom
1.0
5.168 0.000 0.000
0.000 5.168 0.000
0.000 0.000 5.168
Zn P Br
1 1 3
Direct
0.000 0.000 0.000
0.500 0.500 0.500
0.000 0.000 0.500
0.000 0.500 0.000
0.500 0.000 0.000

Entry 2:
Pr2Sm3YEr6 PBE optimized geometry; total magnetic moment = 0.00 Bohr magnetons per cell; V = 32.245 Å³/atom; ΔH_f (0 K) = 17 meV per atom
1.0
3.103 -5.373 0.000
3.103 5.373 0.000
-2.061 0.000 11.603
Pr Sm Y Er
2 3 1 6
Direct
0.166 0.834 0.000
0.834 0.166 0.000
0.000 0.000 0.500
0.333 0.667 0.500
0.667 0.333 0.500
0.500 0.500 0.000
0.083 0.416 0.749
0.251 0.251 0.252
0.416 0.083 0.749
0.584 0.917 0.251
0.749 0.749 0.748
0.917 0.584 0.251

Entry 3:
Na3SrSb3 PBE optimized geometry; total magnetic moment = 2.74 Bohr magnetons per cell; V = 39.115 Å³/atom; ΔE_f (raw) = 0.158 eV/atom
1.0
8.181 0.000 0.000
0.000 8.181 0.000
0.000 0.000 8.181
Na Sr Sb
6 2 6
Direct
0.000 0.250 0.500
0.000 0.750 0.500
0.250 0.500 0.000
0.500 0.000 0.250
0.500 0.000 0.750
0.750 0.500 0.000
0.000 0.000 0.000
0.500 0.500 0.500
0.000 0.500 0.250
0.000 0.500 0.750
0.250 0.000 0.500
0.500 0.250 0.000
0.500 0.750 0.000
0.750 0.000 0.500

Entry 4:
LiY2PbSe4 PBE optimized geometry; total magnetic moment = 0.00 Bohr magnetons per cell; V = 25.750 Å³/atom; ΔE_f (raw) = -1.377 eV/atom
1.0
-4.184 4.185 5.881
4.184 -4.185 5.881
4.184 4.185 -5.881
Li Y Pb Se
2 4 2 8
Direct
0.500 0.000 0.000
0.500 0.500 0.500
0.000 0.000 0.000
0.000 0.000 0.500
0.000 0.500 0.000
0.500 0.000 0.500
0.000 0.500 0.500
0.500 0.500 0.000
0.241 0.243 0.997
0.252 0.239 0.487
0.252 0.766 0.013
0.254 0.757 0.497
0.746 0.243 0.503
0.748 0.234 0.987
0.748 0.761 0.513
0.759 0.757 0.003

Entry 5:
Tb3SiPb PBE optimized geometry; total magnetic moment = 0.00 Bohr magnetons per cell; V = 28.671 Å³/atom; ΔE_f (raw) = -0.538 eV/atom
1.0
4.564 0.000 0.000
0.000 6.900 0.000
0.000 0.000 9.103
Tb Si Pb
6 2 2
Direct
0.250 0.006 0.166
0.250 0.250 0.580
0.250 0.494 0.166
0.750 0.506 0.834
0.750 0.750 0.420
0.750 0.994 0.834
0.250 0.250 0.899
0.750 0.750 0.101
0.250 0.750 0.645
0.750 0.250 0.355

Entry 6:
Er2SnRu PBE optimized geometry; polymorph energy (0 for the lowest one) = 239 meV per atom; total magnetic moment = 0.00 Bohr magnetons per cell; V = 23.999 Å³/atom; ΔH_f (0 K) = -344 meV per atom
1.0
3.504 0.000 0.000
-1.752 3.035 0.000
0.000 0.000 27.080
Er Sn Ru
6 3 3
Direct
0.000 0.000 0.237
0.000 0.000 0.763
0.333 0.667 0.429
0.333 0.667 0.904
0.667 0.333 0.096
0.667 0.333 0.571
0.000 0.000 0.000
0.333 0.667 0.667
0.667 0.333 0.333
0.000 0.000 0.500
0.333 0.667 0.167
0.667 0.333 0.833